--- A ---
# MoPRhCl2

An optimized crystal structure of MoPRhCl2 (PBE-GGA, the Alexandria database).

Structure (extended XYZ):
```
5
Lattice="4.7406 0.0000 0.0000 0.0000 4.7406 0.0000 0.0000 0.0000 4.7794" Properties=species:S:1:pos:R:3 pbc="T T T"
Mo 0.0000 0.0000 0.0000
P 0.0000 0.0000 2.3897
Rh 2.3703 2.3703 2.3897
Cl 0.0000 2.3703 0.0000
Cl 2.3703 0.0000 0.0000
```

symmetry = P4/mmm, No. 123

---

--- B ---
# MoPRhCl2

An optimized crystal structure of MoPRhCl2 (PBE-GGA, the Alexandria database).

Structure (extended XYZ):
```
5
Lattice="4.9265 0.0000 0.0000 0.0000 4.9265 0.0000 0.0000 0.0000 4.4979" Properties=species:S:1:pos:R:3 pbc="T T T"
Mo 0.0000 0.0000 0.0000
P 2.4633 2.4633 0.0000
Rh 2.4633 2.4633 2.2490
Cl 0.0000 2.4633 2.2490
Cl 2.4633 0.0000 2.2490
```

symmetry = P4/mmm, No. 123

---

Which of them is most stable, and which least? Most stable: A; least stable: B.

---

--- A ---
# MoP2SCl

An optimized crystal structure of MoP2SCl (PBE-GGA, the Alexandria database).

Structure (extended XYZ):
```
5
Lattice="4.4400 0.0000 0.0000 0.0000 4.4400 0.0000 0.0000 0.0000 4.6682" Properties=species:S:1:pos:R:3 pbc="T T T"
Mo 0.0000 0.0000 0.0000
P 0.0000 2.2200 2.3341
P 2.2200 0.0000 2.3341
S 2.2200 2.2200 0.0000
Cl 2.2200 2.2200 2.3341
```

symmetry = P4/mmm, No. 123

---

--- B ---
# MoP2SCl

An optimized crystal structure of MoP2SCl (PBE-GGA, the Alexandria database).

Structure (extended XYZ):
```
5
Lattice="4.7657 0.0000 0.0000 0.0000 4.7657 0.0000 0.0000 0.0000 4.5543" Properties=species:S:1:pos:R:3 pbc="T T T"
Mo 0.0000 0.0000 0.0000
P 0.0000 2.3828 0.0000
P 2.3828 0.0000 0.0000
S 0.0000 0.0000 2.2772
Cl 2.3828 2.3828 2.2772
```

symmetry = P4/mmm, No. 123

---

Which of them is most stable, and which least? Most stable: B; least stable: A.

---

--- A ---
# MoP2SCl

An optimized crystal structure of MoP2SCl (PBE-GGA, the Alexandria database).

Structure (extended XYZ):
```
5
Lattice="4.6002 0.0000 0.0000 0.0000 4.6002 0.0000 0.0000 0.0000 4.4131" Properties=species:S:1:pos:R:3 pbc="T T T"
Mo 0.0000 0.0000 0.0000
P 0.0000 2.3001 2.2065
P 2.3001 0.0000 2.2065
S 2.3001 2.3001 2.2065
Cl 2.3001 2.3001 0.0000
```

symmetry = P4/mmm, No. 123

---

--- B ---
# MoP2SCl

An optimized crystal structure of MoP2SCl (PBE-GGA, the Alexandria database).

Structure (extended XYZ):
```
5
Lattice="4.7566 0.0000 0.0000 0.0000 4.7566 0.0000 0.0000 0.0000 4.5749" Properties=species:S:1:pos:R:3 pbc="T T T"
Mo 0.0000 0.0000 0.0000
P 0.0000 2.3783 0.0000
P 2.3783 0.0000 0.0000
S 2.3783 2.3783 2.2874
Cl 0.0000 0.0000 2.2874
```

symmetry = P4/mmm, No. 123

---

Which of them is most stable, and which least? Most stable: B; least stable: A.

---

--- A ---
# MoPS2Cl

An optimized crystal structure of MoPS2Cl (PBE-GGA, the Alexandria database).

Structure (extended XYZ):
```
5
Lattice="4.6706 0.0000 0.0000 0.0000 4.6706 0.0000 0.0000 0.0000 4.4830" Properties=species:S:1:pos:R:3 pbc="T T T"
Mo 0.0000 0.0000 0.0000
P 2.3353 2.3353 2.2415
S 0.0000 2.3353 2.2415
S 2.3353 0.0000 2.2415
Cl 2.3353 2.3353 0.0000
```

symmetry = P4/mmm, No. 123

---

--- B ---
# MoPS2Cl

An optimized crystal structure of MoPS2Cl (PBE-GGA, the Alexandria database).

Structure (extended XYZ):
```
5
Lattice="4.5866 0.0000 0.0000 0.0000 4.5866 0.0000 0.0000 0.0000 4.9258" Properties=species:S:1:pos:R:3 pbc="T T T"
Mo 0.0000 0.0000 0.0000
P 0.0000 0.0000 2.4629
S 0.0000 2.2933 0.0000
S 2.2933 0.0000 0.0000
Cl 2.2933 2.2933 2.4629
```

symmetry = P4/mmm, No. 123

---

--- C ---
# MoPS2Cl

An optimized crystal structure of MoPS2Cl (PBE-GGA, the Alexandria database).

Structure (extended XYZ):
```
5
Lattice="4.6016 0.0000 0.0000 0.0000 4.6016 0.0000 0.0000 0.0000 4.5136" Properties=species:S:1:pos:R:3 pbc="T T T"
Mo 0.0000 0.0000 0.0000
P 2.3008 2.3008 0.0000
S 0.0000 2.3008 2.2568
S 2.3008 0.0000 2.2568
Cl 2.3008 2.3008 2.2568
```

symmetry = P4/mmm, No. 123

---

--- D ---
# MoPS2Cl

An optimized crystal structure of MoPS2Cl (PBE-GGA, the Alexandria database).

Structure (extended XYZ):
```
5
Lattice="4.7014 0.0000 0.0000 0.0000 4.7014 0.0000 0.0000 0.0000 4.8325" Properties=species:S:1:pos:R:3 pbc="T T T"
Mo 0.0000 0.0000 0.0000
P 2.3507 2.3507 2.4162
S 0.0000 2.3507 0.0000
S 2.3507 0.0000 0.0000
Cl 0.0000 0.0000 2.4162
```

symmetry = P4/mmm, No. 123

---

Which of them is most stable, and which least? Most stable: B; least stable: C.